# YBeZn2

A geometry-optimized YBeZn2 structure (PBE-GGA, Alexandria via LeMat-Bulk).

Results
- Formation energy from the elements: -0.158 eV/atom
- E: -13.4 eV per cell
- DOS at the Fermi energy: 2.775 states/eV/f.u.

a = 4.0634 Å, b = 4.0634 Å, c = 5.4806 Å
α = 68.38°, β = 68.39°, γ = 59.93°
Fractional positions:
1 Y 0.7551 0.7551 0.7353
2 Be 0.5533 0.5533 0.3400
3 Zn 0.9598 0.9598 0.1202
4 Zn 0.2317 0.2317 0.3045


# Zn2Cd5Pd12

A geometry-optimized Zn2Cd5Pd12 structure (PBE-GGA, Alexandria via LeMat-Bulk).

Results
- Formation energy from the elements: -0.281 eV/atom
- E: -74.8 eV per cell
- DOS at the Fermi energy: 6.419 states/eV/f.u.

a = 7.5815 Å, b = 7.4747 Å, c = 6.5592 Å
α = 90.76°, β = 90.00°, γ = 120.47°
Fractional positions:
1 Zn 0.7033 0.0000 0.0000
2 Zn 0.2967 0.0000 0.0000
3 Cd 0.2399 0.4799 0.5738
4 Cd 0.2983 0.5965 0.0110
5 Cd 0.0000 0.0000 0.5000
6 Cd 0.7017 0.4035 0.9890
7 Cd 0.7601 0.5201 0.4262
8 Pd 0.9108 0.8216 0.1096
9 Pd 0.0362 0.6955 0.7545
10 Pd 0.6592 0.6955 0.7545
11 Pd 0.1809 0.7580 0.3404
12 Pd 0.5771 0.7580 0.3404
13 Pd 0.4479 0.8958 0.6904
14 Pd 0.5521 0.1042 0.3096
15 Pd 0.8191 0.2420 0.6596
16 Pd 0.4229 0.2420 0.6596
17 Pd 0.9638 0.3045 0.2455
18 Pd 0.3408 0.3045 0.2455
19 Pd 0.0892 0.1784 0.8904


# LaTeI

A geometry-optimized LaTeI structure (PBE-GGA, Alexandria via LeMat-Bulk).

Results
- Energy relative to the lowest polymorph listed for this composition: 0 meV/atom
- E: -28.5 eV per cell
- DOS at the Fermi energy: 0.000 states/eV/f.u.

a = 4.6822 Å, b = 6.3497 Å, c = 9.6472 Å
α = 90.00°, β = 90.00°, γ = 90.00°
Fractional positions:
1 La 0.0000 0.5000 0.8608
2 La 0.5000 0.0000 0.1392
3 Te 0.5000 0.5000 0.0927
4 Te 0.0000 0.0000 0.9073
5 I 0.5000 0.5000 0.6347
6 I 0.0000 0.0000 0.3653


Number 1: theoretical density 5358 kg/m3. Number 2: theoretical density 10212 kg/m3. Number 3: theoretical density 4555 kg/m3.